(1)
First-principles (GGA-PBE) data for a relaxed RbCa2AsCl crystal, as listed in the Alexandria database.

Cell lengths 6.7105, 5.4477, 6.7105 Å; angles 90.00, 90.00, 90.00 degrees
With the nearest neighbours (Å) after each atom.
Atoms (fractional coordinates):
Ca (0.5000, 0.0000, 0.0000)  2 Rb 3.36
Ca (0.0000, 0.0000, 0.5000)  2 Rb 3.36
Rb (0.0000, 0.0000, 0.0000)  2 As 2.72
As (0.0000, 0.5000, 0.0000)  2 Rb 2.72
Cl (0.5000, 0.5000, 0.5000)  8 Ca 4.32, 4 As 4.75

Fermi-level density of states   2.7 states/eV/f.u.
E_form (uncorrected)   0.543 eV per atom

(2)
First-principles (GGA-PBE) data for a relaxed CaAsSCl2 crystal, as listed in the Alexandria database.

Cell lengths 4.9478, 4.9478, 5.1826 Å; angles 90.00, 90.00, 90.00 degrees
With the nearest neighbours (Å) after each atom.
Atoms (fractional coordinates):
Cl (0.0000, 0.5000, 0.0000)  2 As 2.47
Cl (0.5000, 0.0000, 0.0000)  2 As 2.47
S (0.0000, 0.0000, 0.5000)  2 As 2.59
As (0.0000, 0.0000, 0.0000)  4 Cl 2.47, 2 S 2.59
Ca (0.5000, 0.5000, 0.5000)  4 S 3.50, 8 Cl 3.58

Fermi-level density of states   0.5 states/eV/f.u.
E_form (uncorrected)   -0.732 eV per atom

(3)
First-principles (GGA-PBE) data for a relaxed CaAsSCl2 crystal, as listed in the Alexandria database.

Cell lengths 5.1264, 5.1264, 5.7314 Å; angles 90.00, 90.00, 90.00 degrees
With the nearest neighbours (Å) after each atom.
Atoms (fractional coordinates):
S (0.0000, 0.0000, 0.5000)  2 Ca 2.87
Cl (0.0000, 0.5000, 0.0000)  2 Ca 2.56
Cl (0.5000, 0.0000, 0.0000)  2 Ca 2.56
As (0.5000, 0.5000, 0.5000)  4 S 3.62, 8 Cl 3.84
Ca (0.0000, 0.0000, 0.0000)  4 Cl 2.56, 2 S 2.87

Fermi-level density of states   3.5 states/eV/f.u.
E_form (uncorrected)   -0.459 eV per atom

(4)
First-principles (GGA-PBE) data for a relaxed Ca4AsS2Cl crystal, as listed in the Alexandria database.

Cell lengths 5.7975, 5.7975, 7.1697 Å; angles 113.84, 113.84, 90.01 degrees
With the nearest neighbours (Å) after each atom.
Atoms (fractional coordinates):
Ca (0.9372, 0.4373, 0.0000)  2 As 2.90, 2 Cl 2.90, 2 S 2.94
Ca (0.6970, 0.6970, 0.5199)  1 As 2.82, 4 S 2.90, 1 Cl 3.06
Ca (0.1771, 0.1771, 0.4801)  1 As 2.82, 4 S 2.90, 1 Cl 3.06
Ca (0.4373, 0.9372, 0.0000)  2 As 2.90, 2 Cl 2.90, 2 S 2.94
S (0.1871, 0.6871, 0.5000)  6 Ca 2.90-2.94
S (0.6871, 0.1871, 0.5000)  6 Ca 2.90-2.94
Cl (0.4372, 0.4372, 0.0000)  6 Ca 2.90-3.06
As (0.9373, 0.9373, 0.0000)  6 Ca 2.82-2.90

E_form (uncorrected)   -1.894 eV per atom

(5)
First-principles (GGA-PBE) data for a relaxed Ca2SbAsCl crystal, as listed in the Alexandria database.

Cell lengths 5.4226, 4.8735, 5.4226 Å; angles 90.00, 90.00, 90.00 degrees
With the nearest neighbours (Å) after each atom.
Atoms (fractional coordinates):
Cl (0.0000, 0.0000, 0.0000)  2 As 2.44, 4 Ca 2.71
Ca (0.0000, 0.0000, 0.5000)  2 Cl 2.71
Ca (0.5000, 0.0000, 0.0000)  2 Cl 2.71
Sb (0.5000, 0.5000, 0.5000)  8 Ca 3.65, 4 As 3.83
As (0.0000, 0.5000, 0.0000)  2 Cl 2.44

Fermi-level density of states   2.7 states/eV/f.u.
E_form (uncorrected)   -0.495 eV per atom

(6)
First-principles (GGA-PBE) data for a relaxed CaAs2SeCl crystal, as listed in the Alexandria database.

Cell lengths 5.5514, 5.5514, 5.2693 Å; angles 90.00, 90.00, 90.00 degrees
With the nearest neighbours (Å) after each atom.
Atoms (fractional coordinates):
As (0.5000, 0.0000, 0.0000)  2 Ca 2.78
As (0.0000, 0.5000, 0.0000)  2 Ca 2.78
Ca (0.0000, 0.0000, 0.0000)  2 Se 2.63, 4 As 2.78
Cl (0.5000, 0.5000, 0.5000)  8 As 3.83, 4 Se 3.93
Se (0.0000, 0.0000, 0.5000)  2 Ca 2.63

Fermi-level density of states   6.5 states/eV/f.u.
E_form (uncorrected)   0.564 eV per atom

(7)
First-principles (GGA-PBE) data for a relaxed CaAs2SeCl crystal, as listed in the Alexandria database.

Cell lengths 4.8954, 4.8954, 5.3044 Å; angles 90.00, 90.00, 90.00 degrees
With the nearest neighbours (Å) after each atom.
Atoms (fractional coordinates):
As (0.0000, 0.5000, 0.0000)  2 Cl 2.45
As (0.5000, 0.0000, 0.0000)  2 Cl 2.45
Se (0.0000, 0.0000, 0.5000)  2 Cl 2.65
Cl (0.0000, 0.0000, 0.0000)  4 As 2.45, 2 Se 2.65
Ca (0.5000, 0.5000, 0.5000)  4 Se 3.46, 8 As 3.61

Fermi-level density of states   3.9 states/eV/f.u.
E_form (uncorrected)   0.187 eV per atom

(8)
First-principles (GGA-PBE) data for a relaxed CaAsSe2Cl crystal, as listed in the Alexandria database.

Cell lengths 5.2745, 5.2745, 4.6987 Å; angles 90.00, 90.00, 90.00 degrees
With the nearest neighbours (Å) after each atom.
Atoms (fractional coordinates):
Cl (0.0000, 0.0000, 0.0000)  2 As 2.35
Se (0.0000, 0.5000, 0.0000)  2 Cl 2.64
Se (0.5000, 0.0000, 0.0000)  2 Cl 2.64
Ca (0.5000, 0.5000, 0.5000)  8 Se 3.53, 4 As 3.73
As (0.0000, 0.0000, 0.5000)  2 Cl 2.35

Fermi-level density of states   6.2 states/eV/f.u.
E_form (uncorrected)   0.071 eV per atom